w | VASP calculation (PBE) on Li4Zn2Ga after structural relaxation.

The size of the total moment comes out at 0.000 μB per formula unit.

a = 5.3502 Å, b = 7.5352 Å, c = 5.9172 Å
α = 90.00°, β = 90.00°, γ = 90.00°
Space group Imm2 (No. 44)
Symmetry-distinct sites (fractional):
Li  0.2434  0.2107  0.0000 [8 per cell]
Zn  0.0000  0.0000  0.6760 [2 per cell]
Zn  0.0000  0.5000  0.2163 [2 per cell]
Ga  0.0000  0.5000  0.7906 [2 per cell]


x | VASP calculation (PBE) on Li4Zn2Ga after structural relaxation.

The size of the total moment comes out at 0.000 μB per formula unit.

a = 13.6767 Å, b = 2.7082 Å, c = 6.9402 Å
α = 90.00°, β = 117.93°, γ = 90.00°
Space group C2/m (No. 12)
Symmetry-distinct sites (fractional):
Li  0.0825  0.0000  0.2170 [4 per cell]
Li  0.1404  0.5000  0.8916 [4 per cell]
Zn  0.2253  0.0000  0.6533 [4 per cell]
Ga  0.0000  0.0000  0.5000 [2 per cell]


Tell me which of them is the least stable. Sure, it is w.